1.
A relaxed VIBr crystal, computed with GGA-PBE.

## Properties
The value obtained for the formation energy (no corrections) is -609 meV per atom. The value obtained for the offset from the most stable computed form is 11 meV/atom.

Cell: 3.9871 3.9871 7.0603 Å, 90.00 90.00 120.00°
Space group P3m1 (No. 156)
Inequivalent atoms, fractional coordinates:
1 V 0.0000 0.0000 0.0000
2 I 0.6667 0.3333 0.2284
3 Br 0.3333 0.6667 0.8026

2.
A relaxed SiRh4Se crystal, computed with GGA-PBE.

## Properties
The value obtained for the formation energy (no corrections) is 503 meV per atom. Its density of states at the Fermi level is 48.1 states/eV per cell.

Cell: 7.294 7.294 7.294 Å, 90.00 90.00 90.00°
Space group F-43m (No. 216)
Inequivalent atoms, fractional coordinates:
1 Si 0.000 0.000 0.000
2 Rh 0.125 0.125 0.625
3 Se 0.250 0.250 0.250

3.
A relaxed CrFeAu2 crystal, computed with GGA-PBE.

## Properties
For the energy of formation, the calculation gives 173 meV per atom. Its density of states at the Fermi level is 3.6 states/eV per cell.

Cell: 2.842 2.842 7.591 Å, 90.00 90.00 90.00°
Space group P4mm (No. 99)
Inequivalent atoms, fractional coordinates:
1 Cr 0.000 0.000 0.000
2 Fe 0.500 0.500 0.189
3 Au 0.000 0.000 0.441
4 Au 0.500 0.500 0.738

4.
A relaxed Pr8TlPb5 crystal, computed with GGA-PBE.

## Properties
For the energy of formation, the calculation gives -530 meV per atom. Its density of states at the Fermi level is 21.4 states/eV per cell.

Cell: 9.771 9.771 9.791 Å, 90.00 90.00 90.00°
Space group I-4 (No. 82)
Inequivalent atoms, fractional coordinates:
1 Pr 0.067 0.180 0.196
2 Pr 0.072 0.319 0.557
3 Tl 0.000 0.500 0.250
4 Pb 0.000 0.000 0.500
5 Pb 0.125 0.252 0.876

5.
A relaxed ZrPRu2 crystal, computed with GGA-PBE.

## Properties
For the energy of formation, the calculation gives -174 meV per atom. Its density of states at the Fermi level is 5.4 states/eV per cell.

Cell: 5.603 8.653 2.953 Å, 90.00 120.10 90.00°
Space group C2/m (No. 12)
Inequivalent atoms, fractional coordinates:
1 Zr 0.000 0.000 0.000
2 P 0.000 0.500 0.000
3 Ru 0.250 0.250 0.500

6.
A relaxed Nd2PuPb crystal, computed with GGA-PBE.

## Properties
For the energy of formation, the calculation gives -211 meV per atom. The value obtained for the offset from the most stable computed form is 0 meV/atom. Its density of states at the Fermi level is 12.1 states/eV per cell.

Cell: 5.050 5.050 4.708 Å, 90.00 90.00 90.00°
Space group P4/mmm (No. 123)
Inequivalent atoms, fractional coordinates:
1 Nd 0.000 0.500 0.000
2 Pu 0.000 0.000 0.500
3 Pb 0.500 0.500 0.500

7.
A relaxed TaCd2Cl crystal, computed with GGA-PBE.

## Properties
The value obtained for the formation energy (no corrections) is 80 meV per atom. The value obtained for the offset from the most stable computed form is 116 meV/atom. Its density of states at the Fermi level is 1.8 states/eV per cell.

Cell: 3.092 3.092 8.592 Å, 90.00 90.00 90.00°
Space group P4/mmm (No. 123)
Inequivalent atoms, fractional coordinates:
1 Ta 0.000 0.000 0.000
2 Cd 0.500 0.500 0.245
3 Cl 0.000 0.000 0.500

8.
A relaxed CeRe2Si2B crystal, computed with GGA-PBE.

## Properties
The value obtained for the formation energy (no corrections) is -537 meV per atom. Its density of states at the Fermi level is 5.8 states/eV per cell.

Cell: 4.233 4.233 5.270 Å, 90.00 90.00 90.00°
Space group P4/mmm (No. 123)
Inequivalent atoms, fractional coordinates:
1 Ce 0.000 0.000 0.000
2 Re 0.000 0.500 0.500
3 Si 0.500 0.500 0.228
4 B 0.000 0.000 0.500

9.
A relaxed ScOs2Cl crystal, computed with GGA-PBE.

## Properties
The value obtained for the formation energy (no corrections) is -86 meV per atom. The value obtained for the offset from the most stable computed form is 28 meV/atom. Its density of states at the Fermi level is 3.1 states/eV per cell.

Cell: 2.929 3.694 7.645 Å, 90.00 90.00 90.00°
Space group Pmm2 (No. 25)
Inequivalent atoms, fractional coordinates:
1 Sc 0.000 0.000 0.000
2 Os 0.000 0.000 0.643
3 Os 0.500 0.500 0.761
4 Cl 0.500 0.500 0.194

10.
A relaxed La4Pm3Tm4 crystal, computed with GGA-PBE.

## Properties
For the energy of formation, the calculation gives 68 meV per atom. The value obtained for the offset from the most stable computed form is 42 meV/atom. Its density of states at the Fermi level is 32.3 states/eV per cell.

Cell: 36.855 3.522 5.756 Å, 90.00 98.95 90.00°
Space group C2/m (No. 12)
Inequivalent atoms, fractional coordinates:
1 La 0.092 0.000 0.092
2 La 0.232 0.000 0.732
3 Pm 0.000 0.500 0.000
4 Pm 0.136 0.500 0.637
5 Tm 0.045 0.000 0.545
6 Tm 0.182 0.000 0.182

11.
A relaxed Pm2YTmTe6 crystal, computed with GGA-PBE.

## Properties
The value obtained for the formation energy (no corrections) is -1368 meV per atom.

Cell: 7.7868 7.7868 21.1594 Å, 90.00 90.00 120.00°
Space group R3 (No. 146, hexagonal axes)
Inequivalent atoms, fractional coordinates:
1 Pm 0.0000 0.0000 0.0000
2 Pm 0.0000 0.0000 0.4996
3 Y 0.0000 0.0000 0.3110
4 Tm 0.0000 0.0000 0.8115
5 Te 0.0121 0.3627 0.0691
6 Te 0.0147 0.6981 0.9015

12.
A relaxed SrGaPt3 crystal, computed with GGA-PBE.

## Properties
For the energy of formation, the calculation gives -641 meV per atom. The value obtained for the offset from the most stable computed form is 0 meV/atom. Its density of states at the Fermi level is 4.1 states/eV per cell.

Cell: 6.0367 6.0367 6.5504 Å, 90.00 90.00 120.00°
Space group P6_3/mmc (No. 194)
Inequivalent atoms, fractional coordinates:
1 Sr 0.3333 0.6667 0.2500
2 Ga 0.0000 0.0000 0.0000
3 Pt 0.1834 0.3668 0.7500